Entry A
Entry from the Alexandria database: a relaxed Ir3Ru3Rh2 crystal (PBE).

Calculated values
Magnetization, μB/f.u.: 0.00
Crystal system: orthorhombic

Lattice parameters (Å, degrees): 3.8461 3.8413 8.1569 103.62 103.64 90.00
Positions (direct):
Ir (0.6228, 0.6228, 0.2457)
Ir (0.3772, 0.3772, 0.7543)
Ir (0.5000, 0.0000, 0.0000)
Ru (0.1248, 0.1248, 0.2495)
Ru (0.0000, 0.5000, 0.0000)
Ru (0.8752, 0.8752, 0.7505)
Rh (0.7492, 0.2492, 0.4985)
Rh (0.2508, 0.7508, 0.5015)


Entry B
Entry from the Alexandria database: a relaxed Ir3Ru3Rh2 crystal (PBE).

Calculated values
Magnetization, μB/f.u.: 0.00
Crystal system: orthorhombic

Lattice parameters (Å, degrees): 2.7171 7.1112 7.1112 120.00 90.00 90.00
Positions (direct):
Ir (0.5000, 0.9998, 0.3629)
Ir (0.5000, 0.3629, 0.9998)
Ir (0.5000, 0.6381, 0.6381)
Ru (0.0000, 0.0004, 0.7377)
Ru (0.0000, 0.7377, 0.0004)
Ru (0.0000, 0.2613, 0.2613)
Rh (0.0000, 0.6663, 0.3335)
Rh (0.0000, 0.3335, 0.6663)


Which of them is most stable? Easy: entry A.